Record 1
Density functional theory data (GGA-PBE) for a geometry-optimized La3Tl3VSe8 structure.

Cell lengths 8.5037, 8.5037, 23.1448 Å; angles 90.00, 90.00, 120.00 degrees
Space group R-3m (No. 166, hexagonal axes)
Inequivalent atoms, fractional coordinates:
La1 0.0000 0.5000 0.0000 (multiplicity 9)
Tl1 0.0000 0.5000 0.5000 (multiplicity 9)
V1 0.0000 0.0000 0.0000 (multiplicity 3)
Se1 0.0000 0.0000 0.2610 (multiplicity 6)
Se2 0.0427 0.5213 0.7316 (multiplicity 18)

energy relative to the elements, uncorrected	-1.215	eV per atom
M_tot	1.01	μB per formula unit
uncorrected energy	-231.292	eV/cell

Record 2
Density functional theory data (GGA-PBE) for a geometry-optimized LaY2Tl3Se6 structure.

Cell lengths 7.3964, 12.8036, 8.1280 Å; angles 90.00, 107.64, 90.00 degrees
Space group C2/m (No. 12)
Inequivalent atoms, fractional coordinates:
La1 0.0000 0.0000 0.0000 (multiplicity 2)
Y1 0.0000 0.3332 0.0000 (multiplicity 4)
Tl1 0.0000 0.1647 0.5000 (multiplicity 4)
Tl2 0.0000 0.5000 0.5000 (multiplicity 2)
Se1 0.2236 0.5000 0.2051 (multiplicity 4)
Se2 0.2417 0.1724 0.2078 (multiplicity 8)

energy relative to the elements, uncorrected	-1.414	eV per atom
M_tot	0.00	μB per formula unit
uncorrected energy	-125.651	eV/cell

Record 3
Density functional theory data (GGA-PBE) for a geometry-optimized La3YTl3Se8 structure.

Cell lengths 8.7362, 8.7362, 22.6182 Å; angles 90.00, 90.00, 120.00 degrees
Space group R-3m (No. 166, hexagonal axes)
Inequivalent atoms, fractional coordinates:
La1 0.0000 0.5000 0.0000 (multiplicity 9)
Y1 0.0000 0.0000 0.0000 (multiplicity 3)
Tl1 0.0000 0.5000 0.5000 (multiplicity 9)
Se1 0.0000 0.0000 0.2609 (multiplicity 6)
Se2 0.0128 0.5064 0.7368 (multiplicity 18)

energy relative to the elements, uncorrected	-1.438	eV per atom
M_tot	0.00	μB per formula unit
uncorrected energy	-233.372	eV/cell

Record 4
Density functional theory data (GGA-PBE) for a geometry-optimized LaYTl2Se4 structure.

Cell lengths 7.4639, 4.3079, 8.1231 Å; angles 90.00, 107.78, 90.00 degrees
Space group P2/m (No. 10)
Inequivalent atoms, fractional coordinates:
La1 0.0000 0.0000 0.0000 (multiplicity 1)
Y1 0.5000 0.5000 0.0000 (multiplicity 1)
Tl1 0.0000 0.5000 0.5000 (multiplicity 1)
Tl2 0.5000 0.0000 0.5000 (multiplicity 1)
Se1 0.2473 0.5000 0.2099 (multiplicity 2)
Se2 0.2745 0.0000 0.7939 (multiplicity 2)

energy relative to the elements, uncorrected	-1.421	eV per atom
M_tot	0.00	μB per formula unit
uncorrected energy	-41.429	eV/cell

Record 5
Density functional theory data (GGA-PBE) for a geometry-optimized La2YTl3Se6 structure.

Cell lengths 7.5337, 13.0366, 8.1188 Å; angles 90.00, 108.00, 90.00 degrees
Space group C2/m (No. 12)
Inequivalent atoms, fractional coordinates:
La1 0.0000 0.1666 0.0000 (multiplicity 4)
Y1 0.0000 0.5000 0.0000 (multiplicity 2)
Tl1 0.0000 0.0000 0.5000 (multiplicity 2)
Tl2 0.0000 0.3325 0.5000 (multiplicity 4)
Se1 0.2306 0.3390 0.2082 (multiplicity 8)
Se2 0.2483 0.0000 0.2109 (multiplicity 4)

energy relative to the elements, uncorrected	-1.435	eV per atom
M_tot	0.00	μB per formula unit
uncorrected energy	-123.078	eV/cell

Record 6
Density functional theory data (GGA-PBE) for a geometry-optimized La3ZrTl3Se8 structure.

Cell lengths 8.6085, 8.6085, 23.3063 Å; angles 90.00, 90.00, 120.00 degrees
Space group R-3m (No. 166, hexagonal axes)
Inequivalent atoms, fractional coordinates:
La1 0.0000 0.5000 0.0000 (multiplicity 9)
Zr1 0.0000 0.0000 0.0000 (multiplicity 3)
Tl1 0.0000 0.5000 0.5000 (multiplicity 9)
Se1 0.0000 0.0000 0.2621 (multiplicity 6)
Se2 0.0279 0.5140 0.7334 (multiplicity 18)

energy relative to the elements, uncorrected	-1.424	eV per atom
M_tot	0.00	μB per formula unit
uncorrected energy	-238.976	eV/cell

Record 7
Density functional theory data (GGA-PBE) for a geometry-optimized LaTm2Se structure.

Cell lengths 3.6699, 3.6699, 31.4761 Å; angles 90.00, 90.00, 120.00 degrees
Space group R-3m (No. 166, hexagonal axes)
Inequivalent atoms, fractional coordinates:
La1 0.0000 0.0000 0.0000 (multiplicity 3)
Tm1 0.0000 0.0000 0.1095 (multiplicity 6)
Se1 0.0000 0.0000 0.5000 (multiplicity 3)

energy relative to the elements, uncorrected	-0.577	eV per atom
M_tot	0.00	μB per formula unit
uncorrected energy	-58.985	eV/cell

Record 8
Density functional theory data (GGA-PBE) for a geometry-optimized LaTmSe3 structure.

Cell lengths 7.7966, 4.1956, 16.0239 Å; angles 90.00, 90.00, 90.00 degrees
Space group Pnma (No. 62)
Inequivalent atoms, fractional coordinates:
La1 0.1398 0.2500 0.1992 (multiplicity 4)
Tm1 0.2262 0.7500 0.4571 (multiplicity 4)
Se1 0.0109 0.2500 0.3965 (multiplicity 4)
Se2 0.1257 0.7500 0.0587 (multiplicity 4)
Se3 0.1535 0.2500 0.7860 (multiplicity 4)

energy relative to the elements, uncorrected	-1.946	eV per atom
M_tot	0.00	μB per formula unit
uncorrected energy	-118.336	eV/cell

Question: Which value of energy relative to the elements, uncorrected does entry 6 give?
Answer: -1.424 eV per atom

Question: Which value of energy relative to the elements, uncorrected does entry 4 give?
Answer: -1.421 eV per atom

Question: M_tot of number 1 (La3Tl3VSe8)?
Answer: 1.01 μB per formula unit